# FeGe2BrO, optimized geometry, DFT PBE+U
data_FeGe2BrO
_chemical_formula_sum 'Fe1 Ge2 Br1 O1'
_cell_length_a 4.247
_cell_length_b 4.247
_cell_length_c 6.379
_cell_angle_alpha 90.00
_cell_angle_beta 90.00
_cell_angle_gamma 90.00
_space_group_name_H-M_alt 'P 4/m m m'
_space_group_IT_number 123
_space_group_name_Hall '-P 4 2'
loop_
_atom_site_label
_atom_site_type_symbol
_atom_site_fract_x
_atom_site_fract_y
_atom_site_fract_z
_atom_site_occupancy
Fe1 Fe 0.000 0.000 0.000 1
Ge1 Ge 0.000 0.500 0.500 1
Br1 Br 0.500 0.500 0.000 1
O1 O 0.500 0.500 0.500 1
# Fermi-level density of states	1.75	states/eV/cell
# size of the total moment	3.9	μB/f.u.
# uncorrected energy	-20.32	eV/cell